1.
The following is a GGA-PBE calculation of BaSr2Rh2 after structural relaxation, from Alexandria via LeMat-Bulk. Values from VASP.

Quantum ESPRESSO input file:
```
&SYSTEM
  ibrav = 0, nat = 10, ntyp = 3
/
ATOMIC_SPECIES
Ba 137.33 Ba.upf
Sr 87.62 Sr.upf
Rh 102.91 Rh.upf
ATOMIC_POSITIONS crystal
Ba 0.000 0.000 0.000
Ba 0.500 0.500 0.000
Sr 0.136 0.364 0.500
Sr 0.364 0.864 0.500
Sr 0.636 0.136 0.500
Sr 0.864 0.636 0.500
Rh 0.164 0.664 0.000
Rh 0.336 0.164 0.000
Rh 0.664 0.836 0.000
Rh 0.836 0.336 0.000
CELL_PARAMETERS angstrom
8.801 0.000 0.000
0.000 8.801 0.000
0.000 0.000 3.682
```

## Properties
Space group   P4/mbm, No. 127
Calculated volume   285 Å³ per cell
Formation energy   -82 meV per atom
Polymorph energy (0 for the lowest one)   0.80 kcal/mol of atoms

---

2.
The following is a GGA-PBE calculation of BaSr3Rh after structural relaxation, from Alexandria via LeMat-Bulk. Values from VASP.

Quantum ESPRESSO input file:
```
&SYSTEM
  ibrav = 0, nat = 10, ntyp = 3
/
ATOMIC_SPECIES
Ba 137.33 Ba.upf
Sr 87.62 Sr.upf
Rh 102.91 Rh.upf
ATOMIC_POSITIONS crystal
Ba 0.333 0.667 0.250
Ba 0.667 0.333 0.750
Sr 0.000 0.000 0.250
Sr 0.000 0.000 0.750
Sr 0.333 0.667 0.567
Sr 0.333 0.667 0.933
Sr 0.667 0.333 0.067
Sr 0.667 0.333 0.433
Rh 0.000 0.000 0.000
Rh 0.000 0.000 0.500
CELL_PARAMETERS angstrom
6.039 0.000 0.000
-3.019 5.230 0.000
0.000 0.000 12.204
```

## Properties
Space group   P6_3/mmc, No. 194
Calculated volume   385 Å³ per cell
Formation energy   110 meV per atom
Polymorph energy (0 for the lowest one)   6.80 kcal/mol of atoms

---

3.
The following is a GGA-PBE calculation of BaSr3Rh after structural relaxation, from Alexandria via LeMat-Bulk. Values from VASP.

Quantum ESPRESSO input file:
```
&SYSTEM
  ibrav = 0, nat = 10, ntyp = 3
/
ATOMIC_SPECIES
Ba 137.33 Ba.upf
Sr 87.62 Sr.upf
Rh 102.91 Rh.upf
ATOMIC_POSITIONS crystal
Ba 0.245 0.245 0.499
Ba 0.755 0.755 0.501
Sr 0.110 0.375 0.998
Sr 0.377 0.117 0.981
Sr 0.498 0.011 0.521
Sr 0.625 0.890 0.002
Sr 0.883 0.623 0.019
Sr 0.989 0.502 0.479
Rh 0.115 0.885 0.500
Rh 0.755 0.245 0.000
CELL_PARAMETERS angstrom
4.336 -8.666 0.000
4.336 8.666 0.000
-4.294 0.000 6.199
```

## Properties
Space group   C2, No. 5
Calculated volume   466 Å³ per cell
Formation energy   -180 meV per atom
Polymorph energy (0 for the lowest one)   0.11 kcal/mol of atoms

---

4.
The following is a GGA-PBE calculation of BaSr3Rh after structural relaxation, from Alexandria via LeMat-Bulk. Values from VASP.

Quantum ESPRESSO input file:
```
&SYSTEM
  ibrav = 0, nat = 10, ntyp = 3
/
ATOMIC_SPECIES
Ba 137.33 Ba.upf
Sr 87.62 Sr.upf
Rh 102.91 Rh.upf
ATOMIC_POSITIONS crystal
Ba 0.000 0.000 0.000
Ba 0.750 0.250 0.500
Sr 0.294 0.294 0.000
Sr 0.379 0.140 0.239
Sr 0.706 0.706 0.000
Sr 0.860 0.100 0.239
Sr 0.860 0.621 0.761
Sr 0.900 0.140 0.761
Rh 0.206 0.706 0.500
Rh 0.294 0.794 0.500
CELL_PARAMETERS angstrom
-3.232 3.232 14.055
3.232 -3.232 14.055
3.232 3.232 -14.055
```

## Properties
Space group   I-4m2, No. 119
Calculated volume   587 Å³ per cell
Formation energy   814 meV per atom
Polymorph energy (0 for the lowest one)   23.02 kcal/mol of atoms

---

Q: Number 4 is which compound?
A: BaSr3Rh

---

Q: Which value of calculated volume does entry 1 give?
A: 285 Å³ per cell

---

Q: Which value of calculated volume does entry 2 give?
A: 385 Å³ per cell